[1]
First-principles (PBE) data for a geometry-optimized Cs2PtAuI structure, as listed in Alexandria via LeMat-Bulk.

Calculated values
* E_form (uncorrected): -0.397 eV/atom

abc: 6.8225 6.8225 5.0347
angles: 90.00 90.00 90.00
Last column: nearest neighbours and their distance in Å.
Sites, in units of the cell vectors:
Cs 0.0000 0.5000 0.0000  2 Pt 3.41
Cs 0.5000 0.0000 0.0000  2 Pt 3.41
Pt 0.0000 0.0000 0.0000  2 Au 2.52
Au 0.0000 0.0000 0.5000  2 Pt 2.52
I 0.5000 0.5000 0.5000  8 Cs 4.24

***

[2]
First-principles (PBE) data for a geometry-optimized Sr3Li2Ag2 structure, as listed in Alexandria via LeMat-Bulk.

Calculated values
* E_form: -1.3 eV per formula unit

abc: 6.8075 8.3598 15.2468
angles: 90.00 90.00 90.00
Last column: nearest neighbours and their distance in Å.
Sites, in units of the cell vectors:
Sr 0.0979 0.0920 0.1105  4 Ag 3.28-3.62, 3 Li 3.55-3.64
Sr 0.0979 0.0920 0.3895  4 Ag 3.28-3.62, 3 Li 3.55-3.64
Sr 0.0979 0.4080 0.6105  4 Ag 3.28-3.62, 3 Li 3.55-3.64
Sr 0.0979 0.4080 0.8895  4 Ag 3.28-3.62, 3 Li 3.55-3.64
Sr 0.3771 0.7337 0.2500  2 Ag 3.23-3.30, 4 Li 3.50-3.57
Sr 0.3771 0.7663 0.7500  2 Ag 3.23-3.30, 4 Li 3.50-3.57
Sr 0.6229 0.2337 0.2500  2 Ag 3.23-3.30, 4 Li 3.50-3.57
Sr 0.6229 0.2663 0.7500  2 Ag 3.23-3.30, 4 Li 3.50-3.57
Sr 0.9021 0.5920 0.1105  4 Ag 3.28-3.62, 3 Li 3.55-3.64
Sr 0.9021 0.5920 0.3895  4 Ag 3.28-3.62, 3 Li 3.55-3.64
Sr 0.9021 0.9080 0.6105  4 Ag 3.28-3.62, 3 Li 3.55-3.64
Sr 0.9021 0.9080 0.8895  4 Ag 3.28-3.62, 3 Li 3.55-3.64
Li 0.3995 0.0561 0.5781  3 Ag 2.82-3.07, 1 Li 2.90
Li 0.3995 0.0561 0.9219  3 Ag 2.82-3.07, 1 Li 2.90
Li 0.3995 0.4439 0.0781  3 Ag 2.82-3.07, 1 Li 2.90
Li 0.3995 0.4439 0.4219  3 Ag 2.82-3.07, 1 Li 2.90
Li 0.6005 0.5561 0.5781  3 Ag 2.82-3.07, 1 Li 2.90
Li 0.6005 0.5561 0.9219  3 Ag 2.82-3.07, 1 Li 2.90
Li 0.6005 0.9439 0.0781  3 Ag 2.82-3.07, 1 Li 2.90
Li 0.6005 0.9439 0.4219  3 Ag 2.82-3.07, 1 Li 2.90
Ag 0.1752 0.1164 0.7500  2 Li 3.07, 6 Sr 3.23-3.32
Ag 0.1752 0.3836 0.2500  2 Li 3.07, 6 Sr 3.23-3.32
Ag 0.3092 0.7500 0.0000  4 Li 2.82-2.89
Ag 0.3092 0.7500 0.5000  4 Li 2.82-2.89
Ag 0.6908 0.2500 0.0000  4 Li 2.82-2.89
Ag 0.6908 0.2500 0.5000  4 Li 2.82-2.89
Ag 0.8248 0.6164 0.7500  2 Li 3.07, 6 Sr 3.23-3.32
Ag 0.8248 0.8836 0.2500  2 Li 3.07, 6 Sr 3.23-3.32

***

[3]
First-principles (PBE) data for a geometry-optimized AcCeSbS structure, as listed in Alexandria via LeMat-Bulk.

Calculated values
* E_form (uncorrected): -1.260 eV/atom

abc: 4.9456 4.9456 10.7694
angles: 90.00 90.00 90.00
Last column: nearest neighbours and their distance in Å.
Sites, in units of the cell vectors:
Ac 0.2500 0.2500 0.1424  4 S 2.91
Ac 0.7500 0.7500 0.8576  4 S 2.91
Ce 0.2500 0.7500 0.5000  4 Sb 3.21, 4 Ce 3.50
Ce 0.7500 0.2500 0.5000  4 Sb 3.21, 4 Ce 3.50
Sb 0.2500 0.2500 0.6907  4 Ce 3.21
Sb 0.7500 0.7500 0.3093  4 Ce 3.21
S 0.2500 0.7500 0.0000  4 Ac 2.91
S 0.7500 0.2500 0.0000  4 Ac 2.91

***

[4]
First-principles (PBE) data for a geometry-optimized MgAl2Rh structure, as listed in Alexandria via LeMat-Bulk.

Calculated values
* E_form: -1.9 eV per formula unit

abc: 4.8797 4.8797 4.8797
angles: 132.70 132.70 69.13
Last column: nearest neighbours and their distance in Å.
Sites, in units of the cell vectors:
Mg 0.0000 0.0000 0.0000  8 Al 2.77-2.81, 4 Rh 2.81
Al 0.2500 0.7500 0.5000  4 Rh 2.77, 4 Al 2.81, 4 Mg 2.81
Al 0.5000 0.5000 0.0000  4 Mg 2.77, 4 Rh 2.81, 4 Al 2.81
Rh 0.7500 0.2500 0.5000  8 Al 2.77-2.81, 4 Mg 2.81

***

[5]
First-principles (PBE) data for a geometry-optimized KNa2BeI structure, as listed in Alexandria via LeMat-Bulk.

Calculated values
* E_form (uncorrected): 0.572 eV/atom

abc: 6.8446 6.8446 6.2823
angles: 90.00 90.00 90.00
Last column: nearest neighbours and their distance in Å.
Sites, in units of the cell vectors:
K 0.0000 0.0000 0.0000  2 I 3.14, 4 Na 3.42
Na 0.0000 0.5000 0.0000  2 K 3.42
Na 0.5000 0.0000 0.0000  2 K 3.42
Be 0.5000 0.5000 0.5000  8 Na 4.65, 4 I 4.84
I 0.0000 0.0000 0.5000  2 K 3.14

***

[6]
First-principles (PBE) data for a geometry-optimized VHOs2I structure, as listed in Alexandria via LeMat-Bulk.

Calculated values
* E: -5.1999 eV/atom

abc: 4.5424 4.5424 5.4948
angles: 90.00 90.00 90.00
Last column: nearest neighbours and their distance in Å.
Sites, in units of the cell vectors:
V 0.0000 0.0000 0.0000  4 Os 2.27
H 0.5000 0.5000 0.5000  4 I 3.21, 8 Os 3.56
Os 0.0000 0.5000 0.0000  2 V 2.27
Os 0.5000 0.0000 0.0000  2 V 2.27
I 0.0000 0.0000 0.5000  2 V 2.75